Computed, not measured: crystalline GaPSeS at its relaxed geometry at the PBE level of DFT.

a b c (Å): 12.0664 3.4581 6.1596
angles (deg): 90.00 118.92 90.00
Sites, in units of the cell vectors:
Ga 0.0000 0.0000 0.0000
Ga 0.5000 0.5000 0.0000
P 0.4240 0.0000 0.3649
P 0.9240 0.5000 0.3649
Se 0.3229 0.5000 0.4744
Se 0.8229 0.0000 0.4744
S 0.3230 0.0000 0.9832
S 0.8230 0.5000 0.9832

As for the formation energy from raw total energies: -6 kJ/mol of atoms. As for the offset from the most stable computed form: 205 meV/atom. The total magnetic moment is 0.00 μB/atom. The total DFT energy (no corrections) is -32.62 eV/cell.

Computed, not measured: crystalline GaPSeS at its relaxed geometry at the PBE level of DFT.

a b c (Å): 4.0887 4.7392 6.7413
angles (deg): 70.55 82.35 64.78
Sites, in units of the cell vectors:
Ga 0.0000 0.0000 0.0000
P 0.6506 0.6927 0.0039
Se 0.7731 0.5208 0.7155
S 0.7914 0.2606 0.2585

As for the formation energy from raw total energies: -26 kJ/mol of atoms. As for the offset from the most stable computed form: 0 meV/atom. The total magnetic moment is 0.00 μB/atom. The total DFT energy (no corrections) is -17.13 eV/cell.

Computed, not measured: crystalline GaPSeS at its relaxed geometry at the PBE level of DFT.

a b c (Å): 3.9679 3.5787 14.6257
angles (deg): 90.00 90.00 90.00
Sites, in units of the cell vectors:
Ga 0.0000 0.0000 0.0000
Ga 0.0000 0.5000 0.5000
P 0.5000 0.0000 0.9048
P 0.5000 0.5000 0.4048
Se 0.0000 0.0000 0.6041
Se 0.0000 0.5000 0.1041
S 0.5000 0.0000 0.3171
S 0.5000 0.5000 0.8171

As for the formation energy from raw total energies: -18 kJ/mol of atoms. As for the offset from the most stable computed form: 83 meV/atom. The total magnetic moment is 0.00 μB/atom. The total DFT energy (no corrections) is -33.59 eV/cell.

Computed, not measured: crystalline GaPSeS at its relaxed geometry at the PBE level of DFT.

a b c (Å): 11.7008 3.7901 4.1131
angles (deg): 90.00 95.66 90.00
Sites, in units of the cell vectors:
Ga 0.0000 0.0000 0.0000
Ga 0.5000 0.5000 0.0000
P 0.2175 0.5000 0.5989
P 0.7175 0.0000 0.5989
Se 0.2484 0.0000 0.9911
Se 0.7484 0.5000 0.9911
S 0.0418 0.5000 0.4821
S 0.5418 0.0000 0.4821

As for the formation energy from raw total energies: -11 kJ/mol of atoms. As for the offset from the most stable computed form: 160 meV/atom. The total magnetic moment is 0.00 μB/atom. The total DFT energy (no corrections) is -32.98 eV/cell.

Computed, not measured: crystalline GaPSeS at its relaxed geometry at the PBE level of DFT.

a b c (Å): 15.3662 3.3616 3.6213
angles (deg): 90.00 98.33 90.00
Sites, in units of the cell vectors:
Ga 0.0000 0.0000 0.0000
Ga 0.5000 0.5000 0.0000
P 0.3396 0.5000 0.8540
P 0.8396 0.0000 0.8540
Se 0.0582 0.5000 0.5339
Se 0.5582 0.0000 0.5339
S 0.3024 0.0000 0.1911
S 0.8024 0.5000 0.1911

As for the formation energy from raw total energies: -11 kJ/mol of atoms. As for the offset from the most stable computed form: 153 meV/atom. The total magnetic moment is 0.00 μB/atom. The total DFT energy (no corrections) is -33.03 eV/cell.

Computed, not measured: crystalline GaPSeS at its relaxed geometry at the PBE level of DFT.

a b c (Å): 3.8016 4.0676 6.5805
angles (deg): 105.46 93.22 114.47
Sites, in units of the cell vectors:
Ga 0.0000 0.0000 0.0000
P 0.5807 0.1304 0.4921
Se 0.1992 0.4557 0.7347
S 0.6963 0.4009 0.2542

As for the formation energy from raw total energies: -7 kJ/mol of atoms. As for the offset from the most stable computed form: 195 meV/atom. The total magnetic moment is 0.00 μB/atom. The total DFT energy (no corrections) is -16.35 eV/cell.

Computed, not measured: crystalline GaPSeS at its relaxed geometry at the PBE level of DFT.

a b c (Å): 6.5877 3.5322 8.3375
angles (deg): 90.00 107.64 90.00
Sites, in units of the cell vectors:
Ga 0.0000 0.0000 0.0000
Ga 0.5000 0.5000 0.0000
P 0.1531 0.0000 0.7698
P 0.6531 0.5000 0.7698
Se 0.4979 0.0000 0.5924
Se 0.9979 0.5000 0.5924
S 0.2312 0.5000 0.1391
S 0.7312 0.0000 0.1391

As for the formation energy from raw total energies: -21 kJ/mol of atoms. As for the offset from the most stable computed form: 52 meV/atom. The total magnetic moment is 0.00 μB/atom. The total DFT energy (no corrections) is -33.84 eV/cell.

Computed, not measured: crystalline GaPSeS2 at its relaxed geometry at the PBE level of DFT.

a b c (Å): 4.8739 4.8739 4.8246
angles (deg): 90.00 90.00 90.00
Sites, in units of the cell vectors:
Ga 0.0000 0.0000 0.0000
P 0.5000 0.5000 0.0000
Se 0.5000 0.5000 0.5000
S 0.0000 0.5000 0.5000
S 0.5000 0.0000 0.5000

As for the formation energy from raw total energies: 68 kJ/mol of atoms. As for the offset from the most stable computed form: 0 meV/atom. The total magnetic moment is 0.12 μB/atom. The total DFT energy (no corrections) is -16.66 eV/cell.